Na2SmPbO4 | PBE-GGA | relaxed

CIF file:
```
data_Na2SmPbO4
_cell_length_a 6.0317
_cell_length_b 3.5412
_cell_length_c 6.0552
_cell_angle_alpha 90.00
_cell_angle_beta 109.51
_cell_angle_gamma 90.00
_space_group_name_H-M_alt 'P 1 2/m 1'
_space_group_IT_number 10
loop_
_space_group_symop_operation_xyz
'x,y,z'
'-x,-y,-z'
'-x,y,-z'
'x,-y,z'
loop_
_atom_site_label
_atom_site_type_symbol
_atom_site_fract_x
_atom_site_fract_y
_atom_site_fract_z
Na1 Na 0.0000 0.0000 0.0000
Na2 Na 0.0000 0.5000 0.5000
Sm1 Sm 0.5000 0.0000 0.5000
Pb1 Pb 0.5000 0.5000 0.0000
O1 O 0.2744 0.0000 0.7561
O2 O 0.2798 0.5000 0.2694
```

Output
Fermi-level density of states, states/eV per atom: 0.353
ΔE_f (raw), eV/atom: -1.90

Ga2WC | PBE-GGA | relaxed

CIF file:
```
data_Ga2WC
_cell_length_a 7.4354
_cell_length_b 7.4354
_cell_length_c 4.2211
_cell_angle_alpha 90.00
_cell_angle_beta 90.00
_cell_angle_gamma 90.00
_space_group_name_H-M_alt 'I -4 2 d'
_space_group_IT_number 122
_space_group_name_Hall 'I -4 2bw'
loop_
_atom_site_label
_atom_site_type_symbol
_atom_site_fract_x
_atom_site_fract_y
_atom_site_fract_z
Ga1 Ga 0.1478 0.2500 0.1250
W1 W 0.0000 0.0000 0.5000
C1 C 0.0000 0.0000 0.0000
```

Output
Formation energy, eV/atom: 0.858
Fermi-level density of states, states/eV per atom: 0.717

BaNi3 | PBE-GGA | relaxed

CIF file:
```
data_BaNi3
_cell_length_a 3.1092
_cell_length_b 3.2125
_cell_length_c 7.0218
_cell_angle_alpha 90.00
_cell_angle_beta 90.00
_cell_angle_gamma 90.00
_space_group_name_H-M_alt 'P m m m'
_space_group_IT_number 47
loop_
_space_group_symop_operation_xyz
'x,y,z'
'-x,-y,-z'
'-x,-y,z'
'x,y,-z'
'x,-y,-z'
'-x,y,z'
'-x,y,-z'
'x,-y,z'
loop_
_atom_site_label
_atom_site_type_symbol
_atom_site_fract_x
_atom_site_fract_y
_atom_site_fract_z
Ba1 Ba 0.0000 0.0000 0.0000
Ni1 Ni 0.0000 0.0000 0.5000
Ni2 Ni 0.5000 0.5000 0.3348
```

Output
Formation energy, eV/atom: 0.448
Fermi-level density of states, states/eV per atom: 1.616

ZrTeAs | PBE-GGA | relaxed

CIF file:
```
data_ZrTeAs
_cell_length_a 6.7204
_cell_length_b 6.7204
_cell_length_c 6.7204
_cell_angle_alpha 90.00
_cell_angle_beta 90.00
_cell_angle_gamma 90.00
_space_group_name_H-M_alt 'F -4 3 m'
_space_group_IT_number 216
_space_group_name_Hall 'F -4 2 3'
loop_
_atom_site_label
_atom_site_type_symbol
_atom_site_fract_x
_atom_site_fract_y
_atom_site_fract_z
Zr1 Zr 0.0000 0.0000 0.0000
Te1 Te 0.0000 0.0000 0.5000
As1 As 0.2500 0.2500 0.7500
```

Output
Fermi-level density of states, states/eV per atom: 1.399
ΔE_f (raw), eV/atom: -0.03